(1)
Density functional theory data (PBE-GGA) for PaTcSbOs after structural relaxation.

```
PaTcSbOs
1.0
0.0000 3.3736 3.3736
3.3736 0.0000 3.3736
3.3736 3.3736 0.0000
Pa Tc Sb Os
1 1 1 1
direct
0.0000 0.0000 0.0000
0.7500 0.7500 0.7500
0.5000 0.5000 0.5000
0.2500 0.2500 0.2500
```

Total magnetic moment, Bohr magnetons per cell: 0.00
ΔE_f (raw), eV per atom: -0.01
Density of states at the Fermi level, states/eV/f.u.: 5.6
Electronic total energy, eV/atom: -8.82

(2)
Density functional theory data (PBE-GGA) for Pa4SbTe2Os after structural relaxation.

```
Pa4SbTe2Os
1.0
7.5267 0.0000 0.0000
0.0000 4.1235 0.0000
-2.2997 0.0000 7.2057
Pa Sb Te Os
4 1 2 1
direct
0.2104 0.0000 0.2112
0.2292 0.5000 0.7704
0.7708 0.5000 0.2296
0.7896 0.0000 0.7888
0.0000 0.0000 0.5000
0.5000 0.0000 0.0000
0.5000 0.5000 0.5000
0.0000 0.5000 0.0000
```

Total magnetic moment, Bohr magnetons per cell: 0.00
ΔE_f (raw), eV per atom: -0.55
Density of states at the Fermi level, states/eV/f.u.: 13.4
Electronic total energy, eV/atom: -8.00

(3)
Density functional theory data (PBE-GGA) for ScPaOs after structural relaxation.

```
ScPaOs
1.0
0.0000 3.2813 3.2813
3.2813 0.0000 3.2813
3.2813 3.2813 0.0000
Sc Pa Os
1 1 1
direct
0.0000 0.0000 0.0000
0.5000 0.5000 0.5000
0.2500 0.2500 0.2500
```

Total magnetic moment, Bohr magnetons per cell: 0.01
Density of states at the Fermi level, states/eV/f.u.: 7.0
Electronic total energy, eV/atom: -9.13
Calculated formation energy, eV/atom: -0.116

(4)
Density functional theory data (PBE-GGA) for ScPaOs4 after structural relaxation.

```
ScPaOs4
1.0
0.0000 3.7553 3.7553
3.7553 0.0000 3.7553
3.7553 3.7553 0.0000
Sc Pa Os
1 1 4
direct
0.0000 0.0000 0.0000
0.2500 0.2500 0.2500
0.1232 0.6256 0.6256
0.6256 0.1232 0.6256
0.6256 0.6256 0.1232
0.6256 0.6256 0.6256
```

Total magnetic moment, Bohr magnetons per cell: 0.00
Density of states at the Fermi level, states/eV/f.u.: 5.1
Electronic total energy, eV/atom: -10.41
Calculated formation energy, eV/atom: -0.291

(5)
Density functional theory data (PBE-GGA) for Sc5PaOs6 after structural relaxation.

```
Sc5PaOs6
1.0
4.6134 0.0000 0.0000
0.0000 6.5249 0.0000
-2.3140 0.0000 6.8754
Sc Pa Os
5 1 6
direct
0.0000 0.0000 0.0000
0.3275 0.5000 0.6555
0.3312 0.0000 0.6628
0.6688 0.0000 0.3372
0.6725 0.5000 0.3445
0.0000 0.5000 0.0000
0.1646 0.2522 0.3285
0.1646 0.7478 0.3285
0.5000 0.2537 0.0000
0.5000 0.7463 0.0000
0.8354 0.2522 0.6715
0.8354 0.7478 0.6715
```

Total magnetic moment, Bohr magnetons per cell: 0.00
Density of states at the Fermi level, states/eV/f.u.: 8.2
Electronic total energy, eV/atom: -9.49
Calculated formation energy, eV/atom: -0.443

(6)
Density functional theory data (PBE-GGA) for ScPaOs after structural relaxation.

```
ScPaOs
1.0
-1.7394 1.7394 5.1576
1.7394 -1.7394 5.1576
1.7394 1.7394 -5.1576
Sc Pa Os
1 1 1
direct
0.0000 0.0000 0.0000
0.3008 0.3008 0.0000
0.6738 0.6738 0.0000
```

Total magnetic moment, Bohr magnetons per cell: 0.00
Density of states at the Fermi level, states/eV/f.u.: 2.7
Electronic total energy, eV/atom: -9.22
Calculated formation energy, eV/atom: -0.203

(7)
Density functional theory data (PBE-GGA) for ScPaSnOs after structural relaxation.

```
ScPaSnOs
1.0
0.0000 3.4278 3.4278
3.4278 0.0000 3.4278
3.4278 3.4278 0.0000
Sc Pa Sn Os
1 1 1 1
direct
0.0000 0.0000 0.0000
0.7500 0.7500 0.7500
0.2500 0.2500 0.2500
0.5000 0.5000 0.5000
```

Total magnetic moment, Bohr magnetons per cell: 0.02
Density of states at the Fermi level, states/eV/f.u.: 5.9
Electronic total energy, eV/atom: -7.94
Calculated formation energy, eV/atom: -0.173

(8)
Density functional theory data (PBE-GGA) for ScPaTiOs after structural relaxation.

```
ScPaTiOs
1.0
0.0000 3.3669 3.3669
3.3669 0.0000 3.3669
3.3669 3.3669 0.0000
Sc Pa Ti Os
1 1 1 1
direct
0.0000 0.0000 0.0000
0.5000 0.5000 0.5000
0.2500 0.2500 0.2500
0.7500 0.7500 0.7500
```

Total magnetic moment, Bohr magnetons per cell: 0.00
Density of states at the Fermi level, states/eV/f.u.: 4.0
Electronic total energy, eV/atom: -8.93
Calculated formation energy, eV/atom: -0.189

(9)
Density functional theory data (PBE-GGA) for ScPaVOs after structural relaxation.

```
ScPaVOs
1.0
0.0000 3.3462 3.3462
3.3462 0.0000 3.3462
3.3462 3.3462 0.0000
Sc Pa V Os
1 1 1 1
direct
0.0000 0.0000 0.0000
0.5000 0.5000 0.5000
0.7500 0.7500 0.7500
0.2500 0.2500 0.2500
```

Total magnetic moment, Bohr magnetons per cell: 1.52
Density of states at the Fermi level, states/eV/f.u.: 3.4
Electronic total energy, eV/atom: -9.18
Calculated formation energy, eV/atom: -0.134

(10)
Density functional theory data (PBE-GGA) for ScPaOsW after structural relaxation.

```
ScPaOsW
1.0
0.0000 3.3642 3.3642
3.3642 0.0000 3.3642
3.3642 3.3642 0.0000
Sc Pa Os W
1 1 1 1
direct
0.0000 0.0000 0.0000
0.5000 0.5000 0.5000
0.7500 0.7500 0.7500
0.2500 0.2500 0.2500
```

Total magnetic moment, Bohr magnetons per cell: 0.00
Density of states at the Fermi level, states/eV/f.u.: 3.5
Electronic total energy, eV/atom: -10.05
Calculated formation energy, eV/atom: -0.048

(11)
Density functional theory data (PBE-GGA) for ZrScPaOs after structural relaxation.

```
ZrScPaOs
1.0
0.0000 3.4329 3.4329
3.4329 0.0000 3.4329
3.4329 3.4329 0.0000
Zr Sc Pa Os
1 1 1 1
direct
0.0000 0.0000 0.0000
0.2500 0.2500 0.2500
0.7500 0.7500 0.7500
0.5000 0.5000 0.5000
```

Total magnetic moment, Bohr magnetons per cell: 0.00
Density of states at the Fermi level, states/eV/f.u.: 4.0
Electronic total energy, eV/atom: -9.04
Calculated formation energy, eV/atom: -0.138

(12)
Density functional theory data (PBE-GGA) for Pa5OsSe4 after structural relaxation.

```
Pa5OsSe4
1.0
-4.5542 4.5542 2.8799
4.5542 -4.5542 2.8799
4.5542 4.5542 -2.8799
Pa Os Se
5 1 4
direct
0.0000 0.0000 0.0000
0.2166 0.4006 0.6172
0.4006 0.7834 0.1840
0.5994 0.2166 0.8160
0.7834 0.5994 0.3828
0.5000 0.5000 0.0000
0.0927 0.6941 0.7868
0.3059 0.0927 0.3986
0.6941 0.9073 0.6014
0.9073 0.3059 0.2132
```

Total magnetic moment, Bohr magnetons per cell: 0.00
ΔE_f (raw), eV per atom: -1.05
Density of states at the Fermi level, states/eV/f.u.: 18.2
Electronic total energy, eV/atom: -8.32